Entry 1:
This record from Alexandria via LeMat-Bulk describes a relaxed CdCoRe3 crystal. The functional is PBE.

Lattice parameters (Å, degrees): 4.453 4.453 4.453 90.00 90.00 90.00
Fractional coordinates of all 5 atoms:
1 Cd 0.000 0.000 0.000
2 Co 0.500 0.500 0.500
3 Re 0.000 0.500 0.500
4 Re 0.500 0.000 0.500
5 Re 0.500 0.500 0.000

- ΔE to the lowest computed polymorph: 0 kJ/mol of formula units
- Symmetry: No. 221



Entry 2:
This record from Alexandria via LeMat-Bulk describes a relaxed CdCo2Re crystal. The functional is PBE.

Lattice parameters (Å, degrees): 4.827 4.827 4.584 104.78 104.78 32.24
Fractional coordinates of all 4 atoms:
1 Cd 0.000 0.000 0.000
2 Co 0.239 0.239 0.811
3 Co 0.524 0.524 0.508
4 Re 0.782 0.782 0.357

- Symmetry: No. 8



Entry 3:
This record from Alexandria via LeMat-Bulk describes a relaxed CdCoRe2 crystal. The functional is PBE.

Lattice parameters (Å, degrees): 5.696 5.696 5.696 152.48 133.58 54.81
Fractional coordinates of all 4 atoms:
1 Cd 0.000 0.000 0.000
2 Co 0.500 0.500 0.000
3 Re 0.290 0.790 0.500
4 Re 0.710 0.210 0.500

- Symmetry: No. 71



Listing energy for the structures above in their given order: -7.474; -6.526; -7.856 eV per atom.
Listing calculated formation energy for the structures above in their given order: 1.5988; 0.3673; 0.3731 eV/atom.